Below is an optimized crystal structure of Dy3ErTl4, with properties calculated at the PBE level.

Geometry as POSCAR:
```
Dy3ErTl4
1.0
3.7807 0.0000 0.0000
0.0000 3.7807 0.0000
0.0000 0.0000 15.1482
Dy Er Tl
3 1 4
direct
0.0000 0.0000 0.0000
0.0000 0.0000 0.2514
0.0000 0.0000 0.7486
0.0000 0.0000 0.5000
0.5000 0.5000 0.1257
0.5000 0.5000 0.3771
0.5000 0.5000 0.6229
0.5000 0.5000 0.8743
```

V = 27.07 Å³ per atom
Relative energy among the computed polymorphs = 0 meV per atom
ΔE_f = -0.336 eV per atom
Space group = P4/mmm (123)